(1)
This record from Alexandria via LeMat-Bulk describes Sc2Nb2Pt after structural relaxation. The functional is PBE.

Cell and atoms, written as extended XYZ:
```
10
Lattice="6.780 0.000 0.000 0.000 6.780 0.000 0.000 0.000 4.418" Properties=species:S:1:pos:R:3 pbc="T T T"
Sc 1.047 2.343 0.000
Sc 2.343 5.733 0.000
Sc 4.436 1.047 0.000
Sc 5.733 4.436 0.000
Nb 0.963 4.353 2.209
Nb 2.427 0.963 2.209
Nb 4.353 5.816 2.209
Nb 5.816 2.427 2.209
Pt 0.000 0.000 0.000
Pt 3.390 3.390 0.000
```

The energy of formation is 0.051 eV/atom. Its raw total energy is -7.717 eV/atom. The energy above the most stable polymorph in this dataset is 0 meV/atom.

---

(2)
This record from Alexandria via LeMat-Bulk describes ScNb2Pt2 after structural relaxation. The functional is PBE.

Cell and atoms, written as extended XYZ:
```
10
Lattice="8.073 0.000 0.000 0.000 8.073 0.000 0.000 0.000 2.813" Properties=species:S:1:pos:R:3 pbc="T T T"
Sc 0.000 0.000 0.000
Sc 4.037 4.037 0.000
Nb 0.968 3.069 0.000
Nb 3.069 7.106 0.000
Nb 5.004 0.968 0.000
Nb 7.106 5.004 0.000
Pt 1.417 5.454 1.406
Pt 2.620 1.417 1.406
Pt 5.454 6.656 1.406
Pt 6.656 2.620 1.406
```

The energy of formation is -0.459 eV/atom. Its raw total energy is -8.169 eV/atom. The energy above the most stable polymorph in this dataset is 42 meV/atom.